[1]
Entry from Alexandria via LeMat-Bulk: ScFe2Au after structural relaxation (PBE).

Values from the calculation:
* total magnetic moment: 4.322 Bohr magnetons per cell
* crystal system: monoclinic
* energy of formation: 0.3 eV/f.u.

```
data_ScFe2Au
_cell_length_a 5.2194
_cell_length_b 4.9722
_cell_length_c 2.8425
_cell_angle_alpha 83.02
_cell_angle_beta 77.62
_cell_angle_gamma 116.31
_symmetry_space_group_name_H-M 'P 1'
_symmetry_Int_Tables_number 1
loop_
_symmetry_equiv_pos_as_xyz
'x,y,z'
loop_
_atom_site_label
_atom_site_fract_x
_atom_site_fract_y
_atom_site_fract_z
_atom_site_occupancy
Au1 0.5000 0.0000 0.5000 1
Fe1 0.0000 0.0000 0.0000 1
Fe2 0.0000 0.5000 0.5000 1
Sc1 0.5000 0.5000 0.0000 1
```

[2]
Entry from Alexandria via LeMat-Bulk: ScFe2Au after structural relaxation (PBE).

Values from the calculation:
* total magnetic moment: 4.718 Bohr magnetons per cell
* crystal system: tetragonal
* energy of formation: -0.5 eV/f.u.

```
data_ScFe2Au
_cell_length_a 4.9885
_cell_length_b 4.9885
_cell_length_c 3.8470
_cell_angle_alpha 67.32
_cell_angle_beta 67.32
_cell_angle_gamma 45.35
_symmetry_space_group_name_H-M 'P 1'
_symmetry_Int_Tables_number 1
loop_
_symmetry_equiv_pos_as_xyz
'x,y,z'
loop_
_atom_site_label
_atom_site_fract_x
_atom_site_fract_y
_atom_site_fract_z
_atom_site_occupancy
Au1 0.2500 0.2500 0.2500 1
Fe1 0.0000 0.0000 0.0000 1
Fe2 0.5000 0.5000 0.5000 1
Sc1 0.7500 0.7500 0.7500 1
```

[3]
Entry from Alexandria via LeMat-Bulk: ScFe2Au after structural relaxation (PBE).

Values from the calculation:
* total magnetic moment: 4.740 Bohr magnetons per cell
* crystal system: tetragonal
* energy of formation: 0.2 eV/f.u.

```
data_ScFe2Au
_cell_length_a 3.3660
_cell_length_b 3.3660
_cell_length_c 5.5932
_cell_angle_alpha 90.00
_cell_angle_beta 90.00
_cell_angle_gamma 90.00
_symmetry_space_group_name_H-M 'P 1'
_symmetry_Int_Tables_number 1
loop_
_symmetry_equiv_pos_as_xyz
'x,y,z'
loop_
_atom_site_label
_atom_site_fract_x
_atom_site_fract_y
_atom_site_fract_z
_atom_site_occupancy
Au1 0.5000 0.5000 0.7500 1
Fe1 0.0000 0.0000 0.9926 1
Fe2 0.0000 0.0000 0.5074 1
Sc1 0.5000 0.5000 0.2500 1
```

[4]
Entry from Alexandria via LeMat-Bulk: ScFe4Au after structural relaxation (PBE).

Values from the calculation:
* total magnetic moment: 8.847 Bohr magnetons per cell
* crystal system: cubic
* energy of formation: -0.9 eV/f.u.

```
data_ScFe4Au
_cell_length_a 4.9115
_cell_length_b 4.9115
_cell_length_c 4.9115
_cell_angle_alpha 60.00
_cell_angle_beta 60.00
_cell_angle_gamma 60.00
_symmetry_space_group_name_H-M 'P 1'
_symmetry_Int_Tables_number 1
loop_
_symmetry_equiv_pos_as_xyz
'x,y,z'
loop_
_atom_site_label
_atom_site_fract_x
_atom_site_fract_y
_atom_site_fract_z
_atom_site_occupancy
Sc1 0.7500 0.7500 0.7500 1
Fe1 0.8722 0.3759 0.3759 1
Fe2 0.3759 0.3759 0.8722 1
Fe3 0.3759 0.8722 0.3759 1
Fe4 0.3759 0.3759 0.3759 1
Au1 0.0000 0.0000 0.0000 1
```

[5]
Entry from Alexandria via LeMat-Bulk: ScFe2Au after structural relaxation (PBE).

Values from the calculation:
* total magnetic moment: 3.786 Bohr magnetons per cell
* crystal system: tetragonal
* energy of formation: -0.5 eV/f.u.

```
data_ScFe2Au
_cell_length_a 3.8999
_cell_length_b 3.8995
_cell_length_c 3.9778
_cell_angle_alpha 90.00
_cell_angle_beta 90.00
_cell_angle_gamma 90.00
_symmetry_space_group_name_H-M 'P 1'
_symmetry_Int_Tables_number 1
loop_
_symmetry_equiv_pos_as_xyz
'x,y,z'
loop_
_atom_site_label
_atom_site_fract_x
_atom_site_fract_y
_atom_site_fract_z
_atom_site_occupancy
Au1 0.0000 0.5000 0.5000 1
Fe1 0.0000 0.0000 0.0000 1
Fe2 0.5000 0.5000 0.0000 1
Sc1 0.5000 0.0000 0.5000 1
```

[6]
Entry from Alexandria via LeMat-Bulk: Sc4FeAu after structural relaxation (PBE).

Values from the calculation:
* total magnetic moment: 0.000 Bohr magnetons per cell
* crystal system: monoclinic
* energy of formation: -2.2 eV/f.u.

```
data_Sc4FeAu
_cell_length_a 5.6339
_cell_length_b 6.9819
_cell_length_c 6.9819
_cell_angle_alpha 111.19
_cell_angle_beta 98.68
_cell_angle_gamma 98.68
_symmetry_space_group_name_H-M 'P 1'
_symmetry_Int_Tables_number 1
loop_
_symmetry_equiv_pos_as_xyz
'x,y,z'
loop_
_atom_site_label
_atom_site_fract_x
_atom_site_fract_y
_atom_site_fract_z
_atom_site_occupancy
Sc1 0.9047 0.6329 0.7881 1
Sc2 0.0410 0.9372 0.2712 1
Sc3 0.5953 0.2119 0.3671 1
Sc4 0.4590 0.7288 0.0628 1
Sc5 0.5410 0.2712 0.9372 1
Sc6 0.4047 0.7881 0.6329 1
Sc7 0.9590 0.0628 0.7288 1
Sc8 0.0953 0.3671 0.2119 1
Fe1 0.2500 0.9984 0.0016 1
Fe2 0.7500 0.0016 0.9984 1
Au1 0.7500 0.6315 0.3685 1
Au2 0.2500 0.3685 0.6315 1
```

[7]
Entry from Alexandria via LeMat-Bulk: ScFe4Au2 after structural relaxation (PBE).

Values from the calculation:
* total magnetic moment: 9.887 Bohr magnetons per cell
* crystal system: tetragonal
* energy of formation: 7.0 eV/f.u.

```
data_ScFe4Au2
_cell_length_a 4.3265
_cell_length_b 4.3265
_cell_length_c 7.3906
_cell_angle_alpha 72.98
_cell_angle_beta 72.98
_cell_angle_gamma 90.00
_symmetry_space_group_name_H-M 'P 1'
_symmetry_Int_Tables_number 1
loop_
_symmetry_equiv_pos_as_xyz
'x,y,z'
loop_
_atom_site_label
_atom_site_fract_x
_atom_site_fract_y
_atom_site_fract_z
_atom_site_occupancy
Sc1 0.0000 0.0000 0.0000 1
Au1 0.6168 0.6168 0.7664 1
Au2 0.3832 0.3832 0.2336 1
Fe1 0.8031 0.8031 0.3939 1
Fe2 0.1969 0.1969 0.6061 1
Fe3 0.0000 0.5000 0.0000 1
Fe4 0.5000 0.0000 0.0000 1
```

[8]
Entry from Alexandria via LeMat-Bulk: ScFe2Au after structural relaxation (PBE).

Values from the calculation:
* total magnetic moment: 4.339 Bohr magnetons per cell
* crystal system: orthorhombic
* energy of formation: -0.5 eV/f.u.

```
data_ScFe2Au
_cell_length_a 4.9935
_cell_length_b 4.9935
_cell_length_c 4.2275
_cell_angle_alpha 65.00
_cell_angle_beta 65.00
_cell_angle_gamma 40.95
_symmetry_space_group_name_H-M 'P 1'
_symmetry_Int_Tables_number 1
loop_
_symmetry_equiv_pos_as_xyz
'x,y,z'
loop_
_atom_site_label
_atom_site_fract_x
_atom_site_fract_y
_atom_site_fract_z
_atom_site_occupancy
Au1 0.2589 0.2589 0.2411 1
Fe1 0.0209 0.0209 0.9790 1
Fe2 0.7286 0.7286 0.7714 1
Sc1 0.4916 0.4916 0.5084 1
```

[9]
Entry from Alexandria via LeMat-Bulk: ScFeAu after structural relaxation (PBE).

Values from the calculation:
* total magnetic moment: 1.892 Bohr magnetons per cell
* crystal system: cubic
* energy of formation: 0.1 eV/f.u.

```
data_ScFeAu
_cell_length_a 4.3159
_cell_length_b 4.3159
_cell_length_c 4.3159
_cell_angle_alpha 60.00
_cell_angle_beta 60.00
_cell_angle_gamma 60.00
_symmetry_space_group_name_H-M 'P 1'
_symmetry_Int_Tables_number 1
loop_
_symmetry_equiv_pos_as_xyz
'x,y,z'
loop_
_atom_site_label
_atom_site_fract_x
_atom_site_fract_y
_atom_site_fract_z
_atom_site_occupancy
Au1 0.5000 0.5000 0.5000 1
Fe1 0.7500 0.7500 0.7500 1
Sc1 0.0000 0.0000 0.0000 1
```

[10]
Entry from Alexandria via LeMat-Bulk: Sc4FeAu after structural relaxation (PBE).

Values from the calculation:
* total magnetic moment: 1.723 Bohr magnetons per cell
* crystal system: cubic
* energy of formation: 2.4 eV/f.u.

```
data_Sc4FeAu
_cell_length_a 5.5698
_cell_length_b 5.5698
_cell_length_c 5.5698
_cell_angle_alpha 60.00
_cell_angle_beta 60.00
_cell_angle_gamma 60.00
_symmetry_space_group_name_H-M 'P 1'
_symmetry_Int_Tables_number 1
loop_
_symmetry_equiv_pos_as_xyz
'x,y,z'
loop_
_atom_site_label
_atom_site_fract_x
_atom_site_fract_y
_atom_site_fract_z
_atom_site_occupancy
Sc1 0.8756 0.3748 0.3748 1
Sc2 0.3748 0.3748 0.8756 1
Sc3 0.3748 0.8756 0.3748 1
Sc4 0.3748 0.3748 0.3748 1
Fe1 0.0000 0.0000 0.0000 1
Au1 0.7500 0.7500 0.7500 1
```

[11]
Entry from Alexandria via LeMat-Bulk: ScFe2Au after structural relaxation (PBE).

Values from the calculation:
* total magnetic moment: 4.817 Bohr magnetons per cell
* crystal system: cubic
* energy of formation: -0.3 eV/f.u.

```
data_ScFe2Au
_cell_length_a 4.4568
_cell_length_b 4.4568
_cell_length_c 4.4568
_cell_angle_alpha 60.00
_cell_angle_beta 60.00
_cell_angle_gamma 60.00
_symmetry_space_group_name_H-M 'P 1'
_symmetry_Int_Tables_number 1
loop_
_symmetry_equiv_pos_as_xyz
'x,y,z'
loop_
_atom_site_label
_atom_site_fract_x
_atom_site_fract_y
_atom_site_fract_z
_atom_site_occupancy
Au1 0.5000 0.5000 0.5000 1
Fe1 0.0000 0.0000 0.0000 1
Fe2 0.7500 0.7500 0.7500 1
Sc1 0.2500 0.2500 0.2500 1
```

[12]
Entry from Alexandria via LeMat-Bulk: ScFe2Au after structural relaxation (PBE).

Values from the calculation:
* total magnetic moment: 5.053 Bohr magnetons per cell
* crystal system: tetragonal
* energy of formation: 0.5 eV/f.u.

```
data_ScFe2Au
_cell_length_a 2.9130
_cell_length_b 2.9130
_cell_length_c 7.5630
_cell_angle_alpha 90.00
_cell_angle_beta 90.00
_cell_angle_gamma 89.93
_symmetry_space_group_name_H-M 'P 1'
_symmetry_Int_Tables_number 1
loop_
_symmetry_equiv_pos_as_xyz
'x,y,z'
loop_
_atom_site_label
_atom_site_fract_x
_atom_site_fract_y
_atom_site_fract_z
_atom_site_occupancy
Au1 0.5000 0.5000 0.7500 1
Fe1 0.0000 0.0000 0.9920 1
Fe2 0.0000 0.0000 0.5080 1
Sc1 0.5000 0.5000 0.2500 1
```